1.
YCuP2 | the Alexandria database | GGA-PBE | optimized geometry; calculated volume = 70 Å³/f.u.; electronic total energy = -5.616 eV per atom; N(E_F) = 0.91 states/eV per atom; space group = Fm-3m, No. 225
1.0
4.0742 1.6812 1.4351
0.1585 3.9750 2.3789
1.0640 -0.0398 4.5112
Y P Cu
1 2 1
Direct
0.5000 0.5000 0.5000
0.2500 0.2500 0.2500
0.7500 0.7500 0.7500
0.0000 0.0000 0.0000


2.
GaTc2I2 | the Alexandria database | GGA-PBE | optimized geometry; calculated volume = 126 Å³/f.u.; distance to the lowest polymorph of the same formula = 0.304 eV/atom; N(E_F) = 1.06 states/eV per atom; space group = P4/mbm, No. 127; formation energy without anion corrections = 1.025 eV/atom
1.0
-6.7837 4.1762 -3.3597
1.5080 -3.7133 -7.6606
-2.0068 -2.5739 0.8526
I Tc Ga
4 4 2
Direct
0.2863 0.7863 0.0000
0.7863 0.7137 0.0000
0.7137 0.2137 0.0000
0.2137 0.2863 0.0000
0.0885 0.5885 0.5000
0.5885 0.9115 0.5000
0.9115 0.4115 0.5000
0.4115 0.0885 0.5000
0.0000 0.0000 0.0000
0.5000 0.5000 0.0000